DFT (PBE) results for LiTm3Mg12 after structural relaxation.

POSCAR file:
```
LiTm3Mg12
1.0
4.599 0.000 0.000
0.000 4.599 0.000
0.000 0.000 18.276
Li Tm Mg
1 3 12
Direct
0.000 0.000 0.000
0.000 0.000 0.242
0.000 0.000 0.500
0.000 0.000 0.758
0.000 0.500 0.116
0.000 0.500 0.371
0.000 0.500 0.629
0.000 0.500 0.884
0.500 0.000 0.116
0.500 0.000 0.371
0.500 0.000 0.629
0.500 0.000 0.884
0.500 0.500 0.000
0.500 0.500 0.240
0.500 0.500 0.500
0.500 0.500 0.760
```

## Properties
- space group = No. 123
- E_tot (eV per cell) = -35.1